No. 1
First-principles (PBE) data for BaAgW4 after structural relaxation, as listed in the Alexandria database.

Lattice parameters (Å, degrees): 5.5670 5.5670 5.5670 60.00 60.00 60.00
With the nearest neighbours (Å) after each atom.
Element x y z (fractional)
Ba: 0.0000 0.0000 0.0000  12 W 3.26, 4 Ag 3.41
Ag: 0.2500 0.2500 0.2500  12 W 3.26, 4 Ba 3.41
W: 0.1250 0.6250 0.6250  6 W 2.78
W: 0.6250 0.1250 0.6250  6 W 2.78
W: 0.6250 0.6250 0.1250  6 W 2.78
W: 0.6250 0.6250 0.6250  6 W 2.78

Output
Crystal system   cubic
Calculated total energy   -8.33 eV per atom

=====

No. 2
First-principles (PBE) data for Cu5PdPt after structural relaxation, as listed in the Alexandria database.

Lattice parameters (Å, degrees): 4.6157 4.6157 9.2208 99.07 99.07 102.10
With the nearest neighbours (Å) after each atom.
Element x y z (fractional)
Cu: 0.0810 0.2850 0.0460  5 Cu 2.40-2.58, 2 Pd 2.61-2.66, 1 Pt 2.64
Cu: 0.1492 0.8508 0.7500  6 Cu 2.40-2.61, 2 Pd 2.50, 1 Pt 2.60
Cu: 0.2850 0.0810 0.5460  5 Cu 2.40-2.58, 2 Pd 2.61-2.66, 1 Pt 2.64
Cu: 0.3612 0.4297 0.8513  6 Cu 2.47-2.75, 2 Pt 2.59-2.62, 2 Pd 2.66-2.71
Cu: 0.4297 0.3612 0.3513  6 Cu 2.47-2.75, 2 Pt 2.59-2.62, 2 Pd 2.66-2.71
Cu: 0.5703 0.6388 0.6487  6 Cu 2.47-2.75, 2 Pt 2.59-2.62, 2 Pd 2.66-2.71
Cu: 0.6388 0.5703 0.1487  6 Cu 2.47-2.75, 2 Pt 2.59-2.62, 2 Pd 2.66-2.71
Cu: 0.7150 0.9190 0.4540  5 Cu 2.40-2.58, 2 Pd 2.61-2.66, 1 Pt 2.64
Cu: 0.8508 0.1492 0.2500  6 Cu 2.40-2.61, 2 Pd 2.50, 1 Pt 2.60
Cu: 0.9190 0.7150 0.9540  5 Cu 2.40-2.58, 2 Pd 2.61-2.66, 1 Pt 2.64
Pd: 0.0000 0.5000 0.5000  10 Cu 2.50-2.71
Pd: 0.5000 0.0000 0.0000  10 Cu 2.50-2.71
Pt: 0.2124 0.7876 0.2500  9 Cu 2.59-2.78
Pt: 0.7876 0.2124 0.7500  9 Cu 2.59-2.78

Output
Crystal system   monoclinic
Excess energy over the best structure of this formula in the dataset   0 meV/atom
Calculated total energy   -4.56 eV per atom